{
  "formula": "PrMgIn2",
  "functional": "PBE",
  "state": "relaxed",
  "lattice_angstrom": [[-4.2584, 1.3796, 1.5297], [-0.3503, -3.9468, 2.5842], [1.9863, 2.1655, 3.5765]],
  "species": ["In", "In", "Mg", "Pr"],
  "fractional_positions": [[0.5000, 0.0000, 0.0000], [0.0000, 0.5000, 0.0000], [0.0000, 0.0000, 0.5000], [0.5000, 0.5000, 0.5000]],
  "e_tot_ev_per_atom": -3.381,
  "vol_a3_per_atom": 25.90,
  "sg": "No. 123"
}


{
  "formula": "UBeAu",
  "functional": "PBE",
  "state": "relaxed",
  "lattice_angstrom": [[-1.4092, -3.7450, 1.6949], [-3.4659, -1.9895, -1.7068], [0.4934, -3.7079, -2.2118]],
  "species": ["Au", "Be", "U"],
  "fractional_positions": [[0.2500, 0.2500, 0.2500], [0.0000, 0.0000, 0.0000], [0.7500, 0.7500, 0.7500]],
  "e_tot_ev_per_atom": -5.732,
  "vol_a3_per_atom": 19.34,
  "sg": "No. 216"
}


{
  "formula": "BaGaSnIr2",
  "functional": "PBE",
  "state": "relaxed",
  "lattice_angstrom": [[-3.2299, -0.4210, -3.1421], [1.2597, -4.2867, -0.7205], [-6.9896, -3.3367, 7.6320]],
  "species": ["Ba", "Ba", "Ga", "Ga", "Ir", "Ir", "Ir", "Ir", "Sn", "Sn"],
  "fractional_positions": [[0.0000, 0.5000, 0.2554], [0.5000, 0.0000, 0.7446], [0.0000, 0.0000, 0.5000], [0.5000, 0.5000, 0.5000], [0.0000, 0.0000, 0.0000], [0.5000, 0.5000, 0.0000], [0.5000, 0.0000, 0.3871], [0.0000, 0.5000, 0.6129], [0.5000, 0.0000, 0.1312], [0.0000, 0.5000, 0.8688]],
  "e_tot_ev_per_atom": -5.766,
  "vol_a3_per_atom": 22.27,
  "sg": "No. 129"
}


{
  "formula": "DyY2Tm2Lu2Ni2Te2",
  "functional": "PBE",
  "state": "relaxed",
  "lattice_angstrom": [[3.0037, -8.7012, -0.9159], [-3.0635, 2.7750, 8.2757], [-0.7333, -3.1997, -8.6485]],
  "species": ["Dy", "Lu", "Lu", "Ni", "Ni", "Te", "Te", "Tm", "Tm", "Y", "Y"],
  "fractional_positions": [[0.4777, 0.4777, 0.0000], [0.0279, 0.8936, 0.1343], [0.7592, 0.8936, 0.8657], [0.6486, 0.4077, 0.2409], [0.1668, 0.4077, 0.7591], [0.1364, 0.1364, 0.0000], [0.7449, 0.2449, 0.5000], [0.4130, 0.0981, 0.3150], [0.7831, 0.0981, 0.6850], [0.0968, 0.7443, 0.3525], [0.3918, 0.7443, 0.6475]],
  "e_tot_ev_per_atom": -5.499,
  "vol_a3_per_atom": 25.45,
  "sg": "No. 44"
}


{
  "formula": "CsLuGa",
  "functional": "PBE",
  "state": "relaxed",
  "lattice_angstrom": [[0.0000, 3.7481, 3.7481], [3.7481, 0.0000, 3.7481], [3.7481, 3.7481, 0.0000]],
  "species": ["Cs", "Ga", "Lu"],
  "fractional_positions": [[0.2500, 0.2500, 0.2500], [0.7500, 0.7500, 0.7500], [0.0000, 0.0000, 0.0000]],
  "e_tot_ev_per_atom": -2.133,
  "vol_a3_per_atom": 35.10,
  "sg": "No. 216"
}


{
  "formula": "CsTmCdTe3",
  "functional": "PBE",
  "state": "relaxed",
  "lattice_angstrom": [[17.1457, 0.0000, 0.0000], [0.0000, 4.5185, 0.0000], [0.0000, 0.0000, 11.9728]],
  "species": ["Cd", "Cd", "Cd", "Cd", "Cs", "Cs", "Cs", "Cs", "Te", "Te", "Te", "Te", "Te", "Te", "Te", "Te", "Te", "Te", "Te", "Te", "Tm", "Tm", "Tm", "Tm"],
  "fractional_positions": [[0.4819, 0.2500, 0.1000], [0.9819, 0.2500, 0.4000], [0.0181, 0.7500, 0.6000], [0.5181, 0.7500, 0.9000], [0.2641, 0.7500, 0.0442], [0.7641, 0.7500, 0.4558], [0.2359, 0.2500, 0.5442], [0.7359, 0.2500, 0.9558], [0.0894, 0.2500, 0.0817], [0.5851, 0.7500, 0.1282], [0.8680, 0.2500, 0.2314], [0.3680, 0.2500, 0.2686], [0.0851, 0.7500, 0.3718], [0.5894, 0.2500, 0.4183], [0.4106, 0.7500, 0.5817], [0.9149, 0.2500, 0.6282], [0.6320, 0.7500, 0.7314], [0.1320, 0.7500, 0.7686], [0.4149, 0.2500, 0.8718], [0.9106, 0.7500, 0.9183], [0.9784, 0.7500, 0.1482], [0.4784, 0.7500, 0.3518], [0.5216, 0.2500, 0.6482], [0.0216, 0.2500, 0.8518]],
  "e_tot_ev_per_atom": -3.671,
  "vol_a3_per_atom": 38.65,
  "sg": "No. 62"
}


{
  "formula": "RbPrCdTe3",
  "functional": "PBE",
  "state": "relaxed",
  "lattice_angstrom": [[12.9074, 0.0000, 0.0000], [0.0000, 4.7714, 0.0000], [0.0000, 0.0000, 14.1161]],
  "species": ["Cd", "Cd", "Cd", "Cd", "Pr", "Pr", "Pr", "Pr", "Rb", "Rb", "Rb", "Rb", "Te", "Te", "Te", "Te", "Te", "Te", "Te", "Te", "Te", "Te", "Te", "Te"],
  "fractional_positions": [[0.7481, 0.0000, 0.2082], [0.2481, 0.0000, 0.2918], [0.7519, 0.5000, 0.7082], [0.2519, 0.5000, 0.7918], [0.4720, 0.5000, 0.1759], [0.9720, 0.5000, 0.3241], [0.0280, 0.0000, 0.6759], [0.5280, 0.0000, 0.8241], [0.8235, 0.5000, 0.0092], [0.3235, 0.5000, 0.4908], [0.6765, 0.0000, 0.5092], [0.1765, 0.0000, 0.9908], [0.5941, 0.0000, 0.0629], [0.9624, 0.0000, 0.1679], [0.2190, 0.5000, 0.1819], [0.7190, 0.5000, 0.3181], [0.4624, 0.0000, 0.3321], [0.0941, 0.0000, 0.4371], [0.9059, 0.5000, 0.5629], [0.5376, 0.5000, 0.6679], [0.2810, 0.0000, 0.6819], [0.7810, 0.0000, 0.8181], [0.0376, 0.5000, 0.8321], [0.4059, 0.5000, 0.9371]],
  "e_tot_ev_per_atom": -3.718,
  "vol_a3_per_atom": 36.22,
  "sg": "No. 62"
}


{
  "formula": "ErSi2Ni10",
  "functional": "PBE",
  "state": "relaxed",
  "lattice_angstrom": [[8.1365, 0.0000, 0.0000], [0.0000, 8.1365, 0.0000], [0.0000, 0.0000, 4.6576]],
  "species": ["Er", "Er", "Ni", "Ni", "Ni", "Ni", "Ni", "Ni", "Ni", "Ni", "Ni", "Ni", "Ni", "Ni", "Ni", "Ni", "Ni", "Ni", "Ni", "Ni", "Ni", "Ni", "Si", "Si", "Si", "Si"],
  "fractional_positions": [[0.2500, 0.2500, 0.2209], [0.7500, 0.7500, 0.7790], [0.0000, 0.0000, 0.0000], [0.5000, 0.0000, 0.0000], [0.0000, 0.5000, 0.0000], [0.5000, 0.5000, 0.0000], [0.6024, 0.2500, 0.2402], [0.8976, 0.2500, 0.2402], [0.2500, 0.6024, 0.2402], [0.2500, 0.8976, 0.2402], [0.7500, 0.5278, 0.2704], [0.5278, 0.7500, 0.2704], [0.9722, 0.7500, 0.2704], [0.7500, 0.9722, 0.2704], [0.2500, 0.0278, 0.7296], [0.0278, 0.2500, 0.7296], [0.4722, 0.2500, 0.7296], [0.2500, 0.4722, 0.7296], [0.7500, 0.1024, 0.7598], [0.7500, 0.3976, 0.7598], [0.1024, 0.7500, 0.7598], [0.3976, 0.7500, 0.7598], [0.0000, 0.0000, 0.5000], [0.5000, 0.0000, 0.5000], [0.0000, 0.5000, 0.5000], [0.5000, 0.5000, 0.5000]],
  "e_tot_ev_per_atom": -5.922,
  "vol_a3_per_atom": 11.86,
  "sg": "No. 129"
}